(1)
Here is an optimized crystal structure of Li2ErHg9 from the Alexandria database. Energies are from PBE.

```
Li2ErHg9
1.0
4.5195 0.0000 0.0000
0.0000 4.5195 0.0000
0.0000 0.0000 13.4826
Li Er Hg
2 1 9
Cartesian
0.0000 0.0000 2.1789 Li
0.0000 0.0000 11.3037 Li
0.0000 0.0000 6.7413 Er
0.0000 2.2597 0.0000 Hg
0.0000 2.2597 4.3975 Hg
0.0000 2.2597 9.0851 Hg
2.2597 0.0000 0.0000 Hg
2.2597 0.0000 4.3975 Hg
2.2597 0.0000 9.0851 Hg
2.2597 2.2597 2.2003 Hg
2.2597 2.2597 6.7413 Hg
2.2597 2.2597 11.2823 Hg
```

Summary:
- Calculated volume: 22.9 A^3/atom
- Total moment: 0.000 μB/atom
- DFT formation energy: -0.2175 eV/atom

---

(2)
Here is an optimized crystal structure of LiEr2Hg8 from the Alexandria database. Energies are from PBE.

```
LiEr2Hg8
1.0
8.1112 -2.4763 0.0000
8.1112 2.4763 0.0000
-2.7445 0.0000 6.3994
Li Er Hg
1 2 8
Cartesian
0.0000 0.0000 0.0000 Li
3.9921 0.0000 2.0470 Er
9.4857 0.0000 4.3524 Er
0.8401 0.0000 2.6190 Hg
-0.0833 0.0000 5.5905 Hg
3.1664 0.0000 5.2696 Hg
7.2199 0.0000 1.7586 Hg
6.2579 0.0000 4.6408 Hg
10.3115 0.0000 1.1298 Hg
13.5611 0.0000 0.8089 Hg
12.6377 0.0000 3.7804 Hg
```

Summary:
- Calculated volume: 23.4 A^3/atom
- Total moment: 0.000 μB/atom
- DFT formation energy: -0.2662 eV/atom

---

(3)
Here is an optimized crystal structure of LiErHg2 from the Alexandria database. Energies are from PBE.

```
LiErHg2
1.0
5.1545 0.0000 0.0000
0.0000 5.1545 0.0000
0.0000 0.0000 3.4541
Li Er Hg
1 1 2
Cartesian
0.0000 0.0000 0.0000 Li
2.5773 2.5773 0.0000 Er
0.0000 2.5773 1.7270 Hg
2.5773 0.0000 1.7270 Hg
```

Summary:
- Calculated volume: 22.9 A^3/atom
- Total moment: 0.000 μB/atom
- DFT formation energy: -0.4006 eV/atom
- Relative energy among the computed polymorphs: 36 meV per atom